(1)
Material: Rb2TmBi2O6
Method: DFT, PBE
State: optimized geometry

The structure belongs to space group C2/m (No. 12); the cell edges are 6.116, 10.499 and 7.027 Å and the angles 90.00°, 106.96° and 90.00°. Symmetry generates all atoms from Rb at (0.000, 0.169, 0.000), Tm at (0.000, 0.000, 0.500), Bi at (0.000, 0.335, 0.500), O at (0.216, 0.165, 0.671) and O at (0.245, 0.500, 0.674).

Its formation energy without anion corrections is -1754.5 meV/atom.

(2)
Material: Pm5Hg2IrRh2
Method: DFT, PBE
State: optimized geometry

The structure belongs to space group P4/mbm (No. 127); the cell edges are 11.739, 11.739 and 3.679 Å and the angles 90.00°, 90.00° and 90.00°. Symmetry generates all atoms from Pm at (0.000, 0.500, 0.000), Pm at (0.080, 0.191, 0.000), Hg at (0.174, 0.674, 0.500), Ir at (0.000, 0.000, 0.500) and Rh at (0.133, 0.367, 0.500).

As for the formation energy: -0.54 eV per atom.

(3)
Material: NaPd2I
Method: DFT, PBE
State: optimized geometry

The structure belongs to space group Fm-3m (No. 225); the cell edges are 6.789, 6.789 and 6.789 Å and the angles 90.00°, 90.00° and 90.00°. Symmetry generates all atoms from Na at (0.000, 0.000, 0.000), Pd at (0.250, 0.250, 0.250) and I at (0.000, 0.000, 0.500).

As for the relative energy among the computed polymorphs: 0.052 eV/f.u. Its formation energy without anion corrections is -21.8 meV/atom.

(4)
Material: NiW
Method: DFT, PBE
State: optimized geometry

The structure belongs to space group Pm-3n (No. 223); the cell edges are 6.546, 6.546 and 6.546 Å and the angles 90.00°, 90.00° and 90.00°. Symmetry generates all atoms from Ni at (0.000, 0.250, 0.500) and W at (0.000, 0.500, 0.250).

As for the formation energy: 1.78 eV per atom.

(5)
Material: Sc2AlTe
Method: DFT, PBE
State: optimized geometry

The structure belongs to space group I4/mmm (No. 139); the cell edges are 4.577, 4.577 and 8.254 Å and the angles 90.00°, 90.00° and 90.00°. Symmetry generates all atoms from Sc at (0.000, 0.500, 0.250), Al at (0.000, 0.000, 0.000) and Te at (0.000, 0.000, 0.500).

As for the relative energy among the computed polymorphs: 0.653 eV/f.u. Its formation energy without anion corrections is -466.0 meV/atom.

(6)
Material: Hg2Se
Method: DFT, PBE
State: optimized geometry

The structure belongs to space group P6_3/mmc (No. 194); the cell edges are 4.1712, 4.1712 and 11.9441 Å and the angles 90.00°, 90.00° and 120.00°. Symmetry generates all atoms from Hg at (0.0000, 0.0000, 0.1128) and Se at (0.3333, 0.6667, 0.2500).

As for the relative energy among the computed polymorphs: 0.177 eV/f.u. Its formation energy without anion corrections is -32.7 meV/atom.

(7)
Material: SmTl2Re3O12
Method: DFT, PBE
State: optimized geometry

The structure belongs to space group R-3m (No. 166, hexagonal axes); the cell edges are 7.4238, 7.4238 and 18.9967 Å and the angles 90.00°, 90.00° and 120.00°. Symmetry generates all atoms from Sm at (0.0000, 0.0000, 0.0000), Tl at (0.0000, 0.0000, 0.3435), Re at (0.0000, 0.5000, 0.5000), O at (0.0327, 0.5164, 0.5979) and O at (0.0889, 0.5445, 0.8414).

Its formation energy without anion corrections is -1679.3 meV/atom.

(8)
Material: PmNdGa
Method: DFT, PBE
State: optimized geometry

The structure belongs to space group I4mm (No. 107); the cell edges are 3.565, 3.565 and 13.579 Å and the angles 90.00°, 90.00° and 90.00°. Symmetry generates all atoms from Pm at (0.000, 0.000, 0.000), Nd at (0.000, 0.000, 0.286) and Ga at (0.000, 0.000, 0.641).

As for the relative energy among the computed polymorphs: 0.197 eV/f.u. As for the formation energy: -0.33 eV per atom.

(9)
Material: Lu5N
Method: DFT, PBE
State: optimized geometry

The structure belongs to space group Cmmm (No. 65); the cell edges are 3.226, 17.633 and 5.986 Å and the angles 90.00°, 90.00° and 90.00°. Symmetry generates all atoms from Lu at (0.000, 0.000, 0.000), Lu at (0.000, 0.091, 0.500), Lu at (0.000, 0.334, 0.000) and N at (0.000, 0.500, 0.500).

Its formation energy without anion corrections is -19.3 meV/atom.

Number 1: total moment 0.0 μB/f.u., DOS(E_F) 5.054 states/eV/f.u.. Number 2: total moment 0.0 μB/f.u., DOS(E_F) 8.013 states/eV/f.u.. Number 3: total moment 0.0 μB/f.u., DOS(E_F) 0.854 states/eV/f.u.. Number 4: total moment 0.0 μB/f.u., DOS(E_F) 2.047 states/eV/f.u.. Number 5: total moment 0.0 μB/f.u., DOS(E_F) 4.018 states/eV/f.u.. Number 6: total moment 0.0 μB/f.u., DOS(E_F) 0.513 states/eV/f.u.. Number 7: total moment 1.0 μB/f.u., DOS(E_F) 5.939 states/eV/f.u.. Number 8: total moment 0.0 μB/f.u., DOS(E_F) 2.973 states/eV/f.u.. Number 9: total moment 0.0 μB/f.u., DOS(E_F) 6.718 states/eV/f.u..